No. 1
## Dy2YZn3AgAu2 (GGA-PBE)

Data for a geometry-optimized Dy2YZn3AgAu2 structure.

abc: 3.8307 13.0784 7.5395
angles: 90.00 90.00 90.00
Closest atoms and distances in Å follow each position.
Space group Amm2 (No. 38)
Symmetry-distinct sites (fractional):
1 Dy 0.0000 0.2030 0.0000 x4  4 Au 2.98, 1 Ag 3.06, 6 Zn 3.17-3.30
2 Y 0.0000 0.0000 0.6086 x2  4 Au 3.00, 1 Ag 3.07, 6 Zn 3.17-3.30
3 Zn 0.5000 0.0000 0.9433 x2  2 Ag 2.73, 2 Au 2.84
4 Zn 0.5000 0.1294 0.3324 x4  2 Ag 2.74, 2 Au 2.83-2.84
5 Ag 0.0000 0.0000 0.2018 x2  6 Zn 2.73-2.74, 2 Dy 3.06
6 Au 0.5000 0.1674 0.7031 x4  3 Zn 2.83-2.84, 4 Dy 2.98, 2 Y 3.00

Total magnetization   0.03 Bohr magnetons per cell
DFT formation energy   -584 meV per atom

---

No. 2
## BeNiMoPb (GGA-PBE)

Data for a geometry-optimized BeNiMoPb structure.

abc: 6.1916 6.1916 6.1916
angles: 90.00 90.00 90.00
Closest atoms and distances in Å follow each position.
Space group F-43m (No. 216)
Symmetry-distinct sites (fractional):
1 Be 0.0000 0.0000 0.0000 x4  4 Pb 2.68, 4 Mo 2.68
2 Ni 0.0000 0.0000 0.5000 x4  4 Mo 2.68, 4 Pb 2.68
3 Mo 0.2500 0.2500 0.7500 x4  4 Ni 2.68, 4 Be 2.68
4 Pb 0.2500 0.2500 0.2500 x4  4 Ni 2.68, 4 Be 2.68

Total magnetization   6.98 Bohr magnetons per cell

---

No. 3
## Ga2TcSb (GGA-PBE)

Data for a geometry-optimized Ga2TcSb structure.

abc: 6.6036 6.6036 6.6036
angles: 90.00 90.00 90.00
Closest atoms and distances in Å follow each position.
Space group F-43m (No. 216)
Symmetry-distinct sites (fractional):
1 Ga 0.0000 0.0000 0.0000 x4  4 Sb 2.86, 4 Ga 2.86
2 Ga 0.2500 0.2500 0.2500 x4  4 Tc 2.86, 4 Ga 2.86
3 Tc 0.0000 0.0000 0.5000 x4  4 Sb 2.86, 4 Ga 2.86
4 Sb 0.2500 0.2500 0.7500 x4  4 Tc 2.86, 4 Ga 2.86

Total magnetization   1.20 Bohr magnetons per cell

---

No. 4
## TmTh2 (GGA-PBE)

Data for a geometry-optimized TmTh2 structure.

abc: 12.5481 12.5481 12.5481
angles: 90.00 90.00 90.00
Closest atoms and distances in Å follow each position.
Space group Fd-3m (No. 227, origin choice 2)
Symmetry-distinct sites (fractional):
1 Tm 0.1250 0.1250 0.1250 x8  4 Th 2.72
2 Th 0.0000 0.0000 0.0000 x16  2 Tm 2.72

Total magnetization   0.09 Bohr magnetons per cell
DFT formation energy   2884 meV per atom

---

No. 5
## Ba2LiAs2Pd (GGA-PBE)

Data for a geometry-optimized Ba2LiAs2Pd structure.

abc: 4.4742 4.4742 9.3151
angles: 90.00 90.00 120.00
Closest atoms and distances in Å follow each position.
Space group P-6m2 (No. 187)
Symmetry-distinct sites (fractional):
1 Ba 0.0000 0.0000 0.2474 x2  6 As 3.46-3.49, 3 Li 3.46, 3 Pd 3.49
2 Li 0.6667 0.3333 0.0000 x1  3 As 2.58
3 As 0.3333 0.6667 0.0000 x1  3 Li 2.58
4 As 0.6667 0.3333 0.5000 x1  3 Pd 2.58
5 Pd 0.3333 0.6667 0.5000 x1  3 As 2.58

---

No. 6
## Er3Ga3GePd2 (GGA-PBE)

Data for a geometry-optimized Er3Ga3GePd2 structure.

abc: 7.5886 7.5886 3.8557
angles: 90.00 90.00 120.00
Closest atoms and distances in Å follow each position.
Space group P-62m (No. 189)
Symmetry-distinct sites (fractional):
1 Er 0.0000 0.7192 0.0000 x3  2 Pd 2.75, 2 Ge 2.87, 2 Ga 3.08
2 Ga 0.0000 0.4034 0.5000 x3  4 Pd 3.01, 1 Ge 3.06, 6 Er 3.08-3.33
3 Ge 0.0000 0.0000 0.5000 x1  6 Er 2.87, 3 Ga 3.06
4 Pd 0.3333 0.6667 0.0000 x2  3 Er 2.75, 6 Ga 3.01

Total magnetization   0.02 Bohr magnetons per cell

---

No. 7
## TbYIn2Pt4 (GGA-PBE)

Data for a geometry-optimized TbYIn2Pt4 structure.

abc: 4.5881 4.5881 9.0380
angles: 90.00 90.00 120.00
Closest atoms and distances in Å follow each position.
Space group P-6m2 (No. 187)
Symmetry-distinct sites (fractional):
1 Tb 0.0000 0.0000 0.0000 x1  8 Pt 3.01-3.08
2 Y 0.3333 0.6667 0.5000 x1  8 Pt 3.01-3.09
3 In 0.6667 0.3333 0.2504 x2  6 Pt 2.77-2.78
4 Pt 0.0000 0.0000 0.3412 x2  3 In 2.77, 1 Pt 2.87, 3 Y 3.01, 1 Tb 3.08
5 Pt 0.3333 0.6667 0.1585 x2  3 In 2.78, 1 Pt 2.87, 3 Tb 3.01, 1 Y 3.09

Total magnetization   0.01 Bohr magnetons per cell

---

No. 8
## HfTcNO (GGA-PBE)

Data for a geometry-optimized HfTcNO structure.

abc: 3.3013 5.9095 5.2977
angles: 90.00 90.00 90.00
Closest atoms and distances in Å follow each position.
Space group Pmc2_1 (No. 26)
Symmetry-distinct sites (fractional):
1 Hf 0.0000 0.2073 0.0000 x2  2 O 2.05-2.08, 2 N 2.06
2 Tc 0.5000 0.3931 0.4206 x2  2 N 2.01-2.03
3 N 0.5000 0.2887 0.7853 x2  2 Tc 2.01-2.03, 2 Hf 2.06
4 O 0.0000 0.1261 0.3763 x2  2 Hf 2.05-2.08, 2 Tc 2.30

Total magnetization   0.02 Bohr magnetons per cell

---

| no. | total DFT energy (no corrections) (eV/cell) |
| --- | --- |
| 1 | -68.16 |
| 2 | -85.31 |
| 3 | -76.15 |
| 4 | -85.20 |
| 5 | -25.89 |
| 6 | -42.10 |
| 7 | -48.50 |
| 8 | -76.76 |